# 1
VASP calculation (GGA-PBE) on a relaxed CsAcNp crystal.

Results
**E**: -4.24 eV/atom

Lattice parameters (Å, degrees): 5.7884 5.7884 5.7884 60.00 60.00 60.00
Each line ends with the local moment (μB).
Sites, in units of the cell vectors:
Cs1 0.0000 0.0000 0.0000  0.03
Np1 0.2500 0.2500 0.2500  4.42
Ac1 0.7500 0.7500 0.7500  0.11

***

# 2
VASP calculation (GGA-PBE) on a relaxed LaNbSiOs2 crystal.

Results
**E**: -8.93 eV/atom

Lattice parameters (Å, degrees): 6.2699 6.2699 6.2699 140.81 140.81 56.62
Sites, in units of the cell vectors:
Nb1 0.7500 0.2500 0.5000
Os1 0.3841 0.3841 0.0000
Os2 0.6159 0.6159 0.0000
La1 0.0000 0.0000 0.0000
Si1 0.2500 0.7500 0.5000

***

# 3
VASP calculation (GGA-PBE) on a relaxed BaSmPO crystal.

Results
**Distance to the lowest polymorph of the same formula**: 13.9 kJ/mol of atoms
**E**: -6.09 eV/atom

Lattice parameters (Å, degrees): 4.1344 6.9972 7.4567 90.00 90.00 90.00
Sites, in units of the cell vectors:
O1 0.5000 0.2318 0.3851
O2 0.5000 0.7682 0.8851
Ba1 0.5000 0.4424 0.0942
Ba2 0.5000 0.5576 0.5942
P1 0.0000 0.2533 0.8165
P2 0.0000 0.7467 0.3165
Sm1 0.0000 0.1146 0.4582
Sm2 0.0000 0.8854 0.9582

***

# 4
VASP calculation (GGA-PBE) on a relaxed HoCdInTe3 crystal.

Results
**Distance to the lowest polymorph of the same formula**: 5.6 kJ/mol of atoms
**E**: -3.63 eV/atom

Lattice parameters (Å, degrees): 9.8442 9.8442 9.6942 102.96 102.96 25.62
Sites, in units of the cell vectors:
Ho1 0.1755 0.1755 0.5874
Ho2 0.8245 0.8245 0.4126
In1 0.8649 0.8649 0.9247
In2 0.1351 0.1351 0.0753
Cd1 0.5276 0.5276 0.7193
Cd2 0.4724 0.4724 0.2807
Te1 0.3190 0.3190 0.1866
Te2 0.3365 0.3365 0.6399
Te3 0.0000 0.0000 0.5000
Te4 0.6635 0.6635 0.3601
Te5 0.5000 0.5000 0.0000
Te6 0.6810 0.6810 0.8134

***

# 5
VASP calculation (GGA-PBE) on a relaxed SrMoOs2 crystal.

Results
**E**: -7.70 eV/atom

Lattice parameters (Å, degrees): 4.6065 4.6065 4.6065 60.00 60.00 60.00
Sites, in units of the cell vectors:
Mo1 0.5000 0.5000 0.5000
Sr1 0.7500 0.7500 0.7500
Os1 0.0000 0.0000 0.0000
Os2 0.2500 0.2500 0.2500

***

# 6
VASP calculation (GGA-PBE) on a relaxed InSi2Au crystal.

Results
**E**: -3.78 eV/atom

Lattice parameters (Å, degrees): 4.7588 4.7588 4.7588 60.00 60.00 60.00
Sites, in units of the cell vectors:
Si1 0.0000 0.0000 0.0000
Si2 0.2500 0.2500 0.2500
Au1 0.5000 0.5000 0.5000
In1 0.7500 0.7500 0.7500

***

# 7
VASP calculation (GGA-PBE) on a relaxed Hf2NiAu3 crystal.

Results
**Formation energy from the elements**: -0.57 eV per atom
**E**: -6.45 eV/atom

Lattice parameters (Å, degrees): 3.4920 3.4920 8.6779 90.00 90.00 90.00
Sites, in units of the cell vectors:
Au1 0.0000 0.0000 0.6752
Au2 0.5000 0.5000 0.1571
Au3 0.0000 0.0000 0.3357
Ni1 0.5000 0.5000 0.8363
Hf1 0.5000 0.5000 0.5081
Hf2 0.0000 0.0000 0.9877

***

# 8
VASP calculation (GGA-PBE) on a relaxed PuB2Os3 crystal.

Results
**E**: -10.50 eV/atom

Lattice parameters (Å, degrees): 11.2039 11.2039 5.9118 90.00 90.00 120.00
Each line ends with the local moment (μB).
Sites, in units of the cell vectors:
B1 0.1662 0.3327 0.0000  0.00
B2 0.8331 0.1663 0.4999  0.00
B3 0.8335 0.1662 0.0000  0.00
B4 0.3332 0.1669 0.4999  0.00
B5 0.6667 0.3333 0.5002  0.00
B6 0.3333 0.6667 0.4998  0.00
B7 0.3327 0.1665 0.0000  0.00
B8 0.1665 0.8338 0.0000  0.00
B9 0.8337 0.6668 0.4999  0.00
B10 0.8338 0.6673 0.0000  0.00
B11 0.3333 0.6667 0.0002  0.00
B12 0.6673 0.8335 0.0000  0.00
B13 0.6667 0.3333 0.9998  0.00
B14 0.1669 0.8337 0.5001  0.00
B15 0.1663 0.3332 0.5001  0.00
B16 0.6668 0.8331 0.5001  0.00
Os1 0.9998 0.2502 0.7498  -0.23
Os2 0.7500 0.2498 0.7502  -0.22
Os3 0.7498 0.7497 0.7498  -0.22
Os4 0.2499 0.2501 0.7499  -0.22
Os5 0.5001 0.7500 0.2498  -0.23
Os6 0.4999 0.2500 0.2499  -0.23
Os7 0.7501 0.7499 0.2501  -0.22
Os8 0.9999 0.2499 0.2501  -0.23
Os9 0.4999 0.2500 0.7502  -0.23
Os10 0.2500 0.4999 0.7501  -0.22
Os11 0.7500 0.2500 0.2499  -0.22
Os12 0.2501 0.0001 0.2501  -0.22
Os13 0.7499 0.9999 0.7499  -0.22
Os14 0.2502 0.2503 0.2502  -0.22
Os15 0.5001 0.7500 0.7501  -0.23
Os16 0.7497 0.9998 0.2502  -0.22
Os17 0.2498 0.4999 0.2498  -0.22
Os18 0.7502 0.5001 0.7502  -0.22
Os19 0.7500 0.5001 0.2499  -0.22
Os20 0.0002 0.7498 0.2502  -0.23
Os21 0.2500 0.7500 0.7501  -0.22
Os22 0.0001 0.7501 0.7499  -0.23
Os23 0.2500 0.7502 0.2498  -0.22
Os24 0.2503 0.0002 0.7498  -0.22
Pu1 0.0000 0.5000 0.5000  4.86
Pu2 0.0000 0.0000 0.5000  4.86
Pu3 0.5000 0.5000 0.0000  4.85
Pu4 0.0000 0.0000 0.0000  4.86
Pu5 0.5000 0.0000 0.5000  4.86
Pu6 0.0000 0.5000 0.0000  4.85
Pu7 0.5000 0.0000 0.0000  4.85
Pu8 0.5000 0.5000 0.5000  4.86

***

# 9
VASP calculation (GGA-PBE) on a relaxed Tb2N3 crystal.

Results
**E**: -7.32 eV/atom

Lattice parameters (Å, degrees): 9.4700 9.4700 9.4700 109.47 109.47 109.47
Each line ends with the local moment (μB).
Sites, in units of the cell vectors:
Tb1 0.0000 0.5000 0.0000  0.12
Tb2 0.2791 0.5291 0.7500  0.12
Tb3 0.5291 0.7500 0.2791  0.12
Tb4 0.2209 0.9709 0.2500  0.12
Tb5 0.0000 0.0000 0.5000  0.11
Tb6 0.2500 0.7209 0.4709  0.13
Tb7 0.9709 0.2500 0.2209  0.12
Tb8 0.4709 0.2500 0.7209  0.12
Tb9 0.7209 0.4709 0.2500  0.12
Tb10 0.5000 0.0000 0.0000  0.10
Tb11 0.7791 0.0291 0.7500  0.12
Tb12 0.0291 0.7500 0.7791  0.12
Tb13 0.5000 0.5000 0.5000  0.12
Tb14 0.2500 0.2209 0.9709  0.12
Tb15 0.7500 0.2791 0.5291  0.13
Tb16 0.7500 0.7791 0.0291  0.12
N1 0.2700 0.0106 0.0376  0.67
N2 0.9624 0.7300 0.9894  0.69
N3 0.0376 0.2700 0.0106  0.69
N4 0.2594 0.7700 0.7324  0.67
N5 0.5376 0.5270 0.7676  0.70
N6 0.7300 0.9894 0.9624  0.67
N7 0.2676 0.7406 0.2300  0.69
N8 0.7594 0.0270 0.4894  0.69
N9 0.4624 0.4730 0.2324  0.70
N10 0.2406 0.9730 0.5106  0.69
N11 0.5270 0.7676 0.5376  0.71
N12 0.4894 0.7594 0.0270  0.67
N13 0.5106 0.2406 0.9730  0.67
N14 0.9894 0.9624 0.7300  0.69
N15 0.7406 0.2300 0.2676  0.67
N16 0.4730 0.2324 0.4624  0.71
N17 0.7700 0.7324 0.2594  0.68
N18 0.2300 0.2676 0.7406  0.68
N19 0.7324 0.2594 0.7700  0.69
N20 0.2324 0.4624 0.4730  0.69
N21 0.7676 0.5376 0.5270  0.69
N22 0.0270 0.4894 0.7594  0.71
N23 0.9730 0.5106 0.2406  0.71
N24 0.0106 0.0376 0.2700  0.69

***

# 10
VASP calculation (GGA-PBE) on a relaxed HfNiAu crystal.

Results
**Formation energy from the elements**: 0.02 eV per atom
**Distance to the lowest polymorph of the same formula**: 27.6 kJ/mol of atoms
**E**: -6.24 eV/atom

Lattice parameters (Å, degrees): 4.3898 4.3898 4.3898 60.00 60.00 60.00
Sites, in units of the cell vectors:
Ni1 0.7500 0.7500 0.7500
Hf1 0.0000 0.0000 0.0000
Au1 0.2500 0.2500 0.2500

***

# 11
VASP calculation (GGA-PBE) on a relaxed HoPu2Ni9 crystal.

Results
**Formation energy from the elements**: -0.11 eV per atom
**E**: -7.02 eV/atom

Lattice parameters (Å, degrees): 8.6130 8.6130 8.6130 32.44 32.44 32.44
Sites, in units of the cell vectors:
Ni1 0.4179 0.9161 0.4179
Ni2 0.5000 0.5000 0.5000
Ni3 0.5821 0.0839 0.5821
Ni4 0.4179 0.4179 0.9161
Ni5 0.5821 0.5821 0.0839
Ni6 0.9161 0.4179 0.4179
Ni7 0.3328 0.3328 0.3328
Ni8 0.0839 0.5821 0.5821
Ni9 0.6672 0.6672 0.6672
Ho1 0.0000 0.0000 0.0000
Pu1 0.8530 0.8530 0.8530
Pu2 0.1470 0.1470 0.1470

***

# 12
VASP calculation (GGA-PBE) on a relaxed YHfTl crystal.

Results
**Distance to the lowest polymorph of the same formula**: 0.0 kJ/mol of atoms
**E**: -5.92 eV/atom

Lattice parameters (Å, degrees): 4.9626 4.9626 4.9626 60.00 60.00 60.00
Sites, in units of the cell vectors:
Tl1 0.0000 0.0000 0.0000
Hf1 0.2500 0.2500 0.2500
Y1 0.7500 0.7500 0.7500

***

# 13
VASP calculation (GGA-PBE) on a relaxed Zn2H crystal.

Results
**E**: -1.20 eV/atom

Lattice parameters (Å, degrees): 5.7532 5.7532 5.7532 60.00 60.00 60.00
Sites, in units of the cell vectors:
Zn1 0.6250 0.6250 0.1250
Zn2 0.6250 0.6250 0.6250
Zn3 0.1250 0.6250 0.6250
Zn4 0.6250 0.1250 0.6250
H1 0.5000 0.5000 0.5000
H2 0.7500 0.7500 0.7500

***

# 14
VASP calculation (GGA-PBE) on a relaxed Sr2AgCl2 crystal.

Results
**Distance to the lowest polymorph of the same formula**: 10.3 kJ/mol of atoms
**E**: -3.18 eV/atom

Lattice parameters (Å, degrees): 6.3352 6.3315 5.6635 63.47 63.41 53.12
Sites, in units of the cell vectors:
Sr1 0.2500 0.2500 0.2500
Sr2 0.7500 0.7500 0.7500
Ag1 0.5000 0.5000 0.5000
Cl1 0.8364 0.8364 0.1636
Cl2 0.1636 0.1636 0.8364

***

# 15
VASP calculation (GGA-PBE) on a relaxed NaSmMg crystal.

Results
**Distance to the lowest polymorph of the same formula**: 19.1 kJ/mol of atoms
**E**: -1.83 eV/atom

Lattice parameters (Å, degrees): 5.3353 5.3353 5.3353 60.00 60.00 60.00
Sites, in units of the cell vectors:
Sm1 0.0000 0.0000 0.0000
Mg1 0.2500 0.2500 0.2500
Na1 0.7500 0.7500 0.7500

***

# 16
VASP calculation (GGA-PBE) on a relaxed PuTaBi crystal.

Results
**Distance to the lowest polymorph of the same formula**: 0.0 kJ/mol of atoms
**E**: -9.44 eV/atom

Lattice parameters (Å, degrees): 4.7909 4.7909 4.7909 60.00 60.00 60.00
Each line ends with the local moment (μB).
Sites, in units of the cell vectors:
Bi1 0.0000 0.0000 0.0000  -0.04
Pu1 0.5000 0.5000 0.5000  4.89
Ta1 0.2500 0.2500 0.2500  -0.51

***

# 17
VASP calculation (GGA-PBE) on a relaxed CsKAsAu crystal.

Results
**Distance to the lowest polymorph of the same formula**: 44.5 kJ/mol of atoms
**E**: -2.51 eV/atom

Lattice parameters (Å, degrees): 5.5431 5.5431 5.5431 60.00 60.00 60.00
Sites, in units of the cell vectors:
As1 0.0000 0.0000 0.0000
K1 0.5000 0.5000 0.5000
Cs1 0.2500 0.2500 0.2500
Au1 0.7500 0.7500 0.7500

***

# 18
VASP calculation (GGA-PBE) on a relaxed Sn7Os3 crystal.

Results
**E**: -6.15 eV/atom

Lattice parameters (Å, degrees): 8.2013 8.2013 8.2013 109.47 109.47 109.47
Sites, in units of the cell vectors:
Os1 0.6563 0.6563 0.0000
Os2 0.0000 0.6563 0.6563
Os3 0.0000 0.3437 0.3437
Os4 0.6563 0.0000 0.6563
Os5 0.3437 0.3437 0.0000
Os6 0.3437 0.0000 0.3437
Sn1 0.2500 0.7500 0.5000
Sn2 0.0000 0.3220 0.0000
Sn3 0.5000 0.7500 0.2500
Sn4 0.3220 0.0000 0.0000
Sn5 0.7500 0.5000 0.2500
Sn6 0.3220 0.3220 0.3220
Sn7 0.0000 0.6780 0.0000
Sn8 0.0000 0.0000 0.3220
Sn9 0.7500 0.2500 0.5000
Sn10 0.6780 0.6780 0.6780
Sn11 0.2500 0.5000 0.7500
Sn12 0.0000 0.0000 0.6780
Sn13 0.5000 0.2500 0.7500
Sn14 0.6780 0.0000 0.0000

***

# 19
VASP calculation (GGA-PBE) on a relaxed TbHoTe2As2 crystal.

Results
**E**: -5.28 eV/atom

Lattice parameters (Å, degrees): 4.0762 4.0762 9.0538 90.00 90.00 90.00
Sites, in units of the cell vectors:
Te1 0.0000 0.0000 0.3730
Te2 0.5000 0.5000 0.6242
As1 0.0000 0.5000 0.0012
As2 0.5000 0.0000 0.0012
Ho1 0.5000 0.5000 0.2540
Tb1 0.0000 0.0000 0.7465

***

# 20
VASP calculation (GGA-PBE) on a relaxed BaSrCdAs2 crystal.

Results
**E**: -3.74 eV/atom

Lattice parameters (Å, degrees): 9.1295 9.1295 7.6690 90.00 90.00 151.00
Sites, in units of the cell vectors:
As1 0.9401 0.0599 0.5575
As2 0.6690 0.3310 0.5205
As3 0.3310 0.6690 0.0205
As4 0.0599 0.9401 0.0575
Cd1 0.0936 0.9064 0.4247
Cd2 0.9064 0.0936 0.9247
Sr1 0.4690 0.5310 0.2653
Sr2 0.5310 0.4690 0.7653
Ba1 0.2974 0.7026 0.5975
Ba2 0.7026 0.2974 0.0975

***

# 21
VASP calculation (GGA-PBE) on a relaxed Hf4Sc2Pb3C3 crystal.

Results
**E**: -8.26 eV/atom

Lattice parameters (Å, degrees): 5.8602 5.8602 15.2030 101.19 101.19 59.99
Sites, in units of the cell vectors:
Sc1 0.3660 0.5282 0.0827
Sc2 0.4718 0.6340 0.4173
Sc3 0.6340 0.4718 0.9173
Sc4 0.5282 0.3660 0.5827
C1 0.8423 0.3290 0.5000
C2 0.0000 0.5000 0.0000
C3 0.6710 0.1577 0.0000
C4 0.5000 0.0000 0.5000
C5 0.3290 0.8423 0.0000
C6 0.1577 0.6710 0.5000
Hf1 0.6932 0.8552 0.0795
Hf2 0.3068 0.1448 0.9205
Hf3 0.1983 0.0215 0.5795
Hf4 0.9785 0.8017 0.9205
Hf5 0.1448 0.3068 0.4205
Hf6 0.8017 0.9785 0.4205
Hf7 0.0215 0.1983 0.0795
Hf8 0.8552 0.6932 0.5795
Pb1 0.4150 0.2486 0.2489
Pb2 0.2486 0.4150 0.7489
Pb3 0.5850 0.7514 0.7511
Pb4 0.9207 0.0793 0.7500
Pb5 0.0793 0.9207 0.2500
Pb6 0.7514 0.5850 0.2511